The following is a PBE+U calculation of a relaxed CoAsO crystal, from the Alexandria database.

Calculated values
For the total energy, the calculation gives -5.259 eV/atom. The symmetry is P1 (1).

```
CoAsO
1.0
5.326 0.000 0.000
0.018 5.345 0.000
0.929 0.583 5.302
Co As O
4 4 4
direct
0.000 0.000 0.000 Co
0.001 0.447 0.520 Co
0.517 0.461 0.967 Co
0.579 0.934 0.478 Co
0.093 0.569 0.086 As
0.137 0.859 0.581 As
0.434 0.351 0.408 As
0.608 0.885 0.920 As
0.363 0.108 0.007 O
0.633 0.547 0.560 O
0.910 0.366 0.913 O
0.935 0.066 0.395 O
```